*1*
This record from Alexandria describes crystalline CaSbAsBr2 at its relaxed geometry. The functional is PBE.

Output
Total magnetization in μB/cell: 0.0

The structure in POSCAR format:
```
CaSbAsBr2
1.0
5.561 0.000 0.000
0.000 5.561 0.000
0.000 0.000 5.443
Sb Ca As Br
1 1 1 2
direct
0.000 0.000 0.000
0.500 0.500 0.500
0.000 0.000 0.500
0.500 0.000 0.000
0.000 0.500 0.000
```

*2*
This record from Alexandria describes crystalline CaSbAsBr2 at its relaxed geometry. The functional is PBE.

Output
Total magnetization in μB/cell: 0.7

The structure in POSCAR format:
```
CaSbAsBr2
1.0
-1.271 -2.495 4.507
0.974 -4.675 -2.314
5.818 0.314 1.814
Br Ca Sb As
2 1 1 1
direct
0.500 0.000 0.000
0.000 0.500 0.000
0.000 0.000 0.000
0.500 0.500 0.500
0.000 0.000 0.500
```

In terms of stability, *1* leads; the second structure lies 110 meV per atom higher.

*1*
This record from Alexandria describes crystalline CaScAs2Br at its relaxed geometry. The functional is PBE.

Output
Total magnetization in μB/cell: 0.0

The structure in POSCAR format:
```
CaScAs2Br
1.0
5.324 0.000 0.000
0.000 5.324 0.000
0.000 0.000 5.267
Br Sc As Ca
1 1 2 1
direct
0.000 0.000 0.500
0.500 0.500 0.500
0.500 0.000 0.000
0.000 0.500 0.000
0.000 0.000 0.000
```

*2*
This record from Alexandria describes crystalline CaScAs2Br at its relaxed geometry. The functional is PBE.

Output
Total magnetization in μB/cell: 0.0

The structure in POSCAR format:
```
CaScAs2Br
1.0
-0.208 -5.078 0.076
4.534 -0.151 2.292
-2.450 0.173 4.858
Br As Sc Ca
1 2 1 1
direct
0.000 0.000 0.500
0.000 0.500 0.000
0.500 0.000 0.000
0.000 0.000 0.000
0.500 0.500 0.500
```

In terms of stability, *2* leads; the second structure lies 808 meV per atom higher.

*1*
This record from Alexandria describes crystalline CaAsSe2Br at its relaxed geometry. The functional is PBE.

Output
Total magnetization in μB/cell: 0.6

The structure in POSCAR format:
```
CaAsSe2Br
1.0
5.358 0.000 0.000
0.000 5.358 0.000
0.000 0.000 5.804
Ca Se Br As
1 2 1 1
direct
0.000 0.000 0.000
0.000 0.500 0.000
0.500 0.000 0.000
0.500 0.500 0.500
0.000 0.000 0.500
```

*2*
This record from Alexandria describes crystalline CaAsSe2Br at its relaxed geometry. The functional is PBE.

Output
Total magnetization in μB/cell: 0.0

The structure in POSCAR format:
```
CaAsSe2Br
1.0
-2.334 -2.622 -4.294
1.646 -4.872 2.080
-4.508 -0.379 2.682
Ca Br Se As
1 1 2 1
direct
0.000 0.000 0.000
0.000 0.000 0.500
0.000 0.500 0.000
0.500 0.000 0.000
0.500 0.500 0.500
```

In terms of stability, *2* leads; the second structure lies 251 meV per atom higher.

*1*
This record from Alexandria describes crystalline CaSiAsBr2 at its relaxed geometry. The functional is PBE.

Output
Total magnetization in μB/cell: 1.0

The structure in POSCAR format:
```
CaSiAsBr2
1.0
-3.101 -2.670 3.455
4.129 -0.415 3.386
-1.608 5.236 2.603
Br Ca Si As
2 1 1 1
direct
0.000 0.500 0.000
0.500 0.000 0.000
0.000 0.000 0.000
0.500 0.500 0.500
0.000 0.000 0.500
```

*2*
This record from Alexandria describes crystalline CaSiAsBr2 at its relaxed geometry. The functional is PBE.

Output
Total magnetization in μB/cell: 0.0

The structure in POSCAR format:
```
CaSiAsBr2
1.0
-3.824 3.173 1.332
-1.505 -3.332 3.619
3.029 2.252 3.333
Br Si As Ca
2 1 1 1
direct
0.000 0.500 0.000
0.500 0.000 0.000
0.000 0.000 0.000
0.000 0.000 0.500
0.500 0.500 0.500
```

In terms of stability, *2* leads; the second structure lies 452 meV per atom higher.